Compound: TlCu2Hg
Source: the Alexandria database
Functional: PBE
Structure: relaxed

Calculated values
**Formation energy from the elements**: 231 meV/atom
**Crystal system**: monoclinic
**Magnetization**: 0.00 μB/f.u.
**Offset from the most stable computed form**: 0.09 eV per formula unit
**Energy**: -2.48 eV/atom

The structure in CIF format:
```
data_TlCu2Hg
_cell_length_a 6.416
_cell_length_b 6.416
_cell_length_c 4.402
_cell_angle_alpha 68.46
_cell_angle_beta 68.46
_cell_angle_gamma 27.74
_symmetry_space_group_name_H-M 'P 1'
_symmetry_Int_Tables_number 1
loop_
_symmetry_equiv_pos_as_xyz
'x,y,z'
loop_
_atom_site_label
_atom_site_fract_x
_atom_site_fract_y
_atom_site_fract_z
Cu1 0.983 0.983 0.021
Tl1 0.713 0.713 0.785
Hg1 0.493 0.493 0.511
Cu2 0.311 0.311 0.183
```

Compound: Tl4CuHg2
Source: the Alexandria database
Functional: PBE
Structure: relaxed

Calculated values
**Formation energy from the elements**: 144 meV/atom
**Crystal system**: tetragonal
**Magnetization**: 0.00 μB/f.u.
**Energy**: -1.88 eV/atom

The structure in CIF format:
```
data_Tl4CuHg2
_cell_length_a 5.209
_cell_length_b 5.209
_cell_length_c 8.894
_cell_angle_alpha 72.97
_cell_angle_beta 72.97
_cell_angle_gamma 90.00
_symmetry_space_group_name_H-M 'P 1'
_symmetry_Int_Tables_number 1
loop_
_symmetry_equiv_pos_as_xyz
'x,y,z'
loop_
_atom_site_label
_atom_site_fract_x
_atom_site_fract_y
_atom_site_fract_z
Tl1 0.500 0.000 0.000
Cu1 0.000 0.000 0.000
Tl2 0.174 0.174 0.652
Tl3 0.000 0.500 0.000
Hg1 0.636 0.636 0.728
Hg2 0.364 0.364 0.272
Tl4 0.826 0.826 0.348
```

Compound: Tl2CuHg
Source: the Alexandria database
Functional: PBE
Structure: relaxed

Calculated values
**Formation energy from the elements**: 274 meV/atom
**Crystal system**: monoclinic
**Magnetization**: 0.00 μB/f.u.
**Offset from the most stable computed form**: 0.51 eV per formula unit
**Energy**: -2.01 eV/atom

The structure in CIF format:
```
data_Tl2CuHg
_cell_length_a 3.748
_cell_length_b 5.835
_cell_length_c 6.166
_cell_angle_alpha 48.68
_cell_angle_beta 90.00
_cell_angle_gamma 90.00
_symmetry_space_group_name_H-M 'P 1'
_symmetry_Int_Tables_number 1
loop_
_symmetry_equiv_pos_as_xyz
'x,y,z'
loop_
_atom_site_label
_atom_site_fract_x
_atom_site_fract_y
_atom_site_fract_z
Tl1 0.500 0.500 0.000
Cu1 0.500 0.500 0.500
Hg1 0.000 0.000 0.500
Tl2 0.000 0.000 0.000
```

Q: Which formula does entry 2 have?
A: Tl4CuHg2

Q: Number 1 is which compound?
A: TlCu2Hg

Q: What is the formation energy from the elements in the third record?
A: 274 meV/atom